The following is a PBE calculation of a geometry-optimized YCu3Sb4O12 structure, from Alexandria.

Results
Space-group type = No. 204
E_form (uncorrected) = -1.280 eV per atom

Lattice parameters (Å, degrees): 6.8501 6.8501 6.8501 109.47 109.47 109.47
Fractional coordinates of all 20 atoms:
Y (0.0000, 0.0000, 0.0000)
Cu (0.0000, 0.5000, 0.5000)
Cu (0.5000, 0.0000, 0.5000)
Cu (0.5000, 0.5000, 0.0000)
Sb (0.0000, 0.0000, 0.5000)
Sb (0.0000, 0.5000, 0.0000)
Sb (0.5000, 0.0000, 0.0000)
Sb (0.5000, 0.5000, 0.5000)
O (0.1266, 0.2942, 0.8324)
O (0.1676, 0.4618, 0.2942)
O (0.1676, 0.8734, 0.7058)
O (0.2942, 0.1676, 0.4618)
O (0.2942, 0.8324, 0.1266)
O (0.4618, 0.2942, 0.1676)
O (0.5382, 0.7058, 0.8324)
O (0.7058, 0.1676, 0.8734)
O (0.7058, 0.8324, 0.5382)
O (0.8324, 0.1266, 0.2942)
O (0.8324, 0.5382, 0.7058)
O (0.8734, 0.7058, 0.1676)

---

The following is a PBE calculation of a geometry-optimized ScCuO2 structure, from Alexandria.

Results
Space-group type = No. 194
E_form (uncorrected) = -2.375 eV per atom

Lattice parameters (Å, degrees): 3.2443 3.2443 11.4494 90.00 90.00 120.00
Fractional coordinates of all 8 atoms:
Sc (0.0000, 0.0000, 0.0000)
Sc (0.0000, 0.0000, 0.5000)
Cu (0.3333, 0.6667, 0.2500)
Cu (0.6667, 0.3333, 0.7500)
O (0.3333, 0.6667, 0.0892)
O (0.3333, 0.6667, 0.4108)
O (0.6667, 0.3333, 0.5892)
O (0.6667, 0.3333, 0.9108)

---

The following is a PBE calculation of a geometry-optimized ScCuO2 structure, from Alexandria.

Results
Space-group type = No. 225
E_form (uncorrected) = -1.726 eV per atom

Lattice parameters (Å, degrees): 5.4020 5.4020 5.4020 90.00 90.00 90.00
Fractional coordinates of all 16 atoms:
Sc (0.0000, 0.0000, 0.0000)
Sc (0.0000, 0.5000, 0.5000)
Sc (0.5000, 0.0000, 0.5000)
Sc (0.5000, 0.5000, 0.0000)
Cu (0.0000, 0.0000, 0.5000)
Cu (0.0000, 0.5000, 0.0000)
Cu (0.5000, 0.0000, 0.0000)
Cu (0.5000, 0.5000, 0.5000)
O (0.2500, 0.2500, 0.2500)
O (0.2500, 0.2500, 0.7500)
O (0.2500, 0.7500, 0.2500)
O (0.2500, 0.7500, 0.7500)
O (0.7500, 0.2500, 0.2500)
O (0.7500, 0.2500, 0.7500)
O (0.7500, 0.7500, 0.2500)
O (0.7500, 0.7500, 0.7500)

---

Question: The highest E_form (uncorrected) belongs to which entry?
Answer: YCu3Sb4O12